Ac4YHg5 | PBE-GGA | optimized geometry

## Properties
Its formation energy is -4.7 eV per formula unit. As for the space group: P4/mmm.

```
Ac4YHg5
1.0
3.964 0.000 0.000
0.000 3.964 0.000
0.000 0.000 20.106
Ac Y Hg
4 1 5
Direct
0.000 0.000 0.103
0.000 0.000 0.310
0.000 0.000 0.690
0.000 0.000 0.897
0.000 0.000 0.500
0.500 0.500 0.000
0.500 0.500 0.205
0.500 0.500 0.417
0.500 0.500 0.583
0.500 0.500 0.795
```

---

AcY2Hg | PBE-GGA | optimized geometry

## Properties
Its formation energy is -0.9 eV per formula unit. As for the space group: P4/mmm. The calculation puts the energy relative to the lowest polymorph listed for this composition at 0.000 eV per formula unit.

```
AcY2Hg
1.0
3.754 0.000 0.000
0.000 3.754 0.000
0.000 0.000 9.068
Ac Y Hg
1 2 1
Direct
0.000 0.000 0.000
0.500 0.500 0.298
0.500 0.500 0.702
0.000 0.000 0.500
```

---

AcY2Hg3 | PBE-GGA | optimized geometry

## Properties
Its formation energy is -2.9 eV per formula unit. As for the space group: P4/mmm.

```
AcY2Hg3
1.0
3.810 0.000 0.000
0.000 3.810 0.000
0.000 0.000 11.635
Ac Y Hg
1 2 3
Direct
0.000 0.000 0.000
0.000 0.000 0.343
0.000 0.000 0.657
0.500 0.500 0.194
0.500 0.500 0.500
0.500 0.500 0.806
```